[1]
4
Lattice="5.3853 0.0000 0.0000 2.6926 4.6638 0.0000 2.6926 1.5546 4.3971" Properties=species:S:1:pos:R:3 comment="PBE PmPaAgBi, optimized geometry" density_g_cm3=10.4 delta_e_f_ev_per_fu=-0.23 pbc="T T T"
Pm 5.3853 3.1092 2.1985
Pa 0.0000 0.0000 0.0000
Bi 8.0779 4.6638 3.2978
Ag 2.6926 1.5546 1.0993



[2]
12
Lattice="3.6119 0.0000 0.0000 0.0000 7.2381 0.2555 -1.8059 -2.0914 7.6070" Properties=species:S:1:pos:R:3 comment="PBE SrNd3Pa2N6, optimized geometry" density_g_cm3=8.8 pbc="T T T"
N 1.8059 3.3589 2.7763
N 0.0000 1.8967 0.4037
N 0.0000 5.0268 5.2347
N 1.8059 3.2501 7.4588
N 0.0000 1.7878 5.0862
N 1.8059 0.1199 2.6278
Nd 1.8059 3.6191 0.1278
Nd 0.0000 5.3561 2.7719
Nd 1.8059 -0.2093 5.0906
Sr 1.8059 0.0000 0.0000
Pa 0.0000 1.7060 2.6117
Pa 1.8059 3.4407 5.2508



[3]
12
Lattice="5.0729 0.0000 1.5046 2.3133 4.5147 1.5046 0.0308 0.0188 9.2002" Properties=species:S:1:pos:R:3 comment="PBE Y3GaRh8, optimized geometry" density_g_cm3=9.2 delta_e_f_ev_per_fu=-7.10 pbc="T T T"
Rh 4.1794 2.5546 9.1720
Rh 2.3031 1.4077 1.5391
Rh 2.9912 0.2844 3.8519
Rh 1.6171 2.5324 3.8519
Rh 3.0220 0.2957 8.4192
Rh 6.0073 3.6719 7.6582
Rh 0.4652 0.2844 3.1027
Rh 1.6413 2.5546 8.4192
Y 0.0876 0.0535 9.0087
Y 4.6123 2.8192 3.0576
Y 3.6692 2.2427 6.2373
Ga 0.9880 0.6039 5.9729



[4]
24
Lattice="-1.8008 0.2853 3.5273 -9.3475 -4.2176 -4.4309 3.4137 -10.2692 2.5734" Properties=species:S:1:pos:R:3 comment="PBE Tm3CoCu2, optimized geometry" density_g_cm3=9.3 relative_energy_mev_per_atom=23.5 delta_e_f_ev_per_fu=-1.49 pbc="T T T"
Tm 0.2458 -6.0895 1.7355
Tm -3.3574 -5.7267 -0.1333
Tm -6.2896 -5.2681 -1.6674
Tm -3.9511 -12.1988 2.3220
Tm -5.3615 -10.7541 -0.7498
Tm -3.7834 -2.0028 -0.6521
Tm -2.3730 -3.4474 2.4197
Tm 2.0837 -9.1764 2.9235
Tm -7.9803 -8.1120 -0.0656
Tm -4.3772 -8.4749 1.8032
Tm -1.4450 -8.9334 3.3373
Tm -9.8183 -5.0252 -1.2536
Cu -5.2269 -7.8829 -0.9134
Cu -2.5076 -6.3187 2.5832
Cu -4.6353 -13.5207 -0.1553
Cu -2.3069 -10.2856 0.7717
Cu -3.0992 -0.6808 1.8252
Cu -8.2638 -11.1004 0.0314
Cu -5.4276 -3.9159 0.8982
Cu 0.5292 -3.1012 1.6385
Co -5.9631 -6.3432 0.8212
Co -6.4647 -12.4743 1.0610
Co -1.7715 -7.8583 0.8487
Co -1.2698 -1.7272 0.6089



[5]
4
Lattice="-2.6991 -3.1709 0.5057 -0.8500 -2.5629 -3.2100 1.3961 -3.9553 0.0476" Properties=species:S:1:pos:R:3 comment="PBE MnAlGeRh, optimized geometry" density_g_cm3=8.2 delta_e_f_ev_per_fu=-1.44 pbc="T T T"
Ge -0.5382 -2.4223 -0.6642
Rh -1.0765 -4.8446 -1.3284
Al -1.6147 -7.2668 -1.9926
Mn 0.0000 0.0000 0.0000



[6]
4
Lattice="-2.2949 1.5628 1.4232 -2.5099 -1.5273 1.0499 2.7685 -1.3204 9.3338" Properties=species:S:1:pos:R:3 comment="PBE VSn2Ir, optimized geometry" density_g_cm3=9.8 delta_e_f_ev_per_fu=1.90 pbc="T T T"
Sn 1.5385 -0.9454 6.9388
Sn -3.5748 -0.3395 4.8681
V 0.0000 0.0000 0.0000
Ir -1.0182 -0.6425 5.9034



[7]
5
Lattice="-0.8064 -3.1622 2.6204 3.3350 1.0542 2.2984 -2.3966 2.5308 2.3167" Properties=species:S:1:pos:R:3 comment="PBE RePt3C, optimized geometry" density_g_cm3=17.7 relative_energy_mev_per_atom=0.0 delta_e_f_ev_per_fu=4.76 pbc="T T T"
Pt -1.1983 1.2654 1.1583
Pt -0.4032 -1.5811 1.3102
Pt 1.6675 0.5271 1.1492
C 0.0000 0.0000 0.0000
Re 0.0660 0.2114 3.6177



[8]
8
Lattice="4.0672 0.0000 -0.0016 0.0000 6.1768 0.0000 -2.0343 0.0000 6.1729" Properties=species:S:1:pos:R:3 comment="PBE ScGe, optimized geometry" density_g_cm3=5.0 delta_e_f_ev_per_fu=-1.59 pbc="T T T"
Sc 0.0003 4.6326 5.6217
Sc 2.0341 4.6326 2.7442
Sc 2.0326 1.5442 0.5495
Sc -0.0013 1.5442 3.4270
Ge 0.0004 5.9257 1.3112
Ge 0.0004 3.3395 1.3112
Ge 2.0325 0.2511 4.8601
Ge 2.0325 2.8373 4.8601



[9]
12
Lattice="-4.1780 2.5051 4.9936 -6.6902 -0.2475 -5.4733 1.7286 -7.9263 5.0765" Properties=species:S:1:pos:R:3 comment="PBE Te4IrI, optimized geometry" density_g_cm3=5.4 pbc="T T T"
Ir -6.2682 1.6080 0.7580
Ir -2.8713 -7.2768 3.8388
Te -4.8527 -5.4325 3.2767
Te -4.5862 -0.1697 -3.7520
Te -4.2868 -0.2363 1.3201
Te -4.3673 -3.4202 5.4930
Te -4.7722 -2.2485 -0.8962
Te -7.1276 -0.3414 -1.0039
Te -2.1039 -0.0778 -1.7212
Te -2.0119 -5.3274 5.6007
I -4.0024 -0.3901 4.9099
I -5.1371 -5.2786 -0.3131



[10]
12
Lattice="-1.8403 -2.0644 4.1904 -3.4916 -2.3901 -2.6954 4.2091 -5.2931 -0.7587" Properties=species:S:1:pos:R:3 comment="PBE PmTm2IrO8, optimized geometry" density_g_cm3=7.8 pbc="T T T"
Tm 0.4858 -6.1906 0.1795
Tm -1.6086 -3.5570 0.5569
O -1.4433 -1.2063 0.4072
O 0.3205 -8.5413 0.3291
O 0.4198 -4.0542 0.0941
O 1.1911 -6.3332 2.2913
O -2.3139 -3.4144 -1.5549
O -1.5426 -5.6934 0.6422
O -1.2886 -3.2147 2.7382
O 0.1657 -6.5329 -2.0018
Pm 2.1046 -2.6465 -0.3794
Ir 0.0000 0.0000 0.0000



[11]
12
Lattice="5.6541 0.0015 0.0008 0.0005 4.8653 -0.2514 -2.8263 -2.3899 8.1549" Properties=species:S:1:pos:R:3 comment="PBE ThGePd4, optimized geometry" density_g_cm3=11.0 relative_energy_mev_per_atom=0.0 delta_e_f_ev_per_fu=-3.56 pbc="T T T"
Pd 2.0096 1.0870 5.2065
Pd 3.7290 1.2996 1.4577
Pd -0.8157 3.8219 2.5723
Pd 0.9025 -1.2546 6.5740
Pd -0.9007 1.1772 6.4465
Pd 1.9258 3.7315 1.3302
Pd 3.6440 -1.3451 5.3319
Pd 0.8187 1.3899 2.6977
Ge 1.4139 -1.1942 4.0778
Ge -1.4129 1.2377 3.9517
Th -1.6305 -1.1726 8.0909
Th 4.4588 3.6495 -0.1867



[12]
18
Lattice="0.0388 -8.4764 -0.5917 4.6956 2.8835 6.4683 -7.9385 2.6711 1.4308" Properties=species:S:1:pos:R:3 comment="PBE Sm6ZnNi2, optimized geometry" density_g_cm3=7.7 delta_e_f_ev_per_fu=-2.09 pbc="T T T"
Sm 0.4063 0.0821 4.3924
Sm -2.4823 -4.9362 0.1672
Sm -3.6104 -3.0040 2.9150
Sm -2.2799 0.1980 2.0252
Sm -3.1467 -0.2834 5.4755
Sm 0.7879 -6.0525 1.1118
Sm -0.9242 -3.1199 5.2821
Sm -0.7218 2.0143 7.1402
Sm 1.9671 -5.0302 4.3447
Sm -0.0574 -2.6386 1.8318
Sm -5.1712 2.1083 2.9626
Sm -3.9920 3.1306 6.1956
Ni -5.1801 -0.7956 3.4161
Ni -2.7421 -2.0151 0.2913
Ni 1.9760 -2.1264 3.8913
Ni -5.1576 -3.7903 0.5479
Zn -1.6214 2.7773 3.9496
Zn 0.0000 0.0000 0.0000



[13]
12
Lattice="-0.6982 5.5241 -0.5547 -4.3822 -2.7139 -2.1775 0.4310 -1.2632 5.4341" Properties=species:S:1:pos:R:3 comment="PBE IrPdO4, optimized geometry" density_g_cm3=8.9 pbc="T T T"
O -2.5522 2.2285 -0.3751
O -0.6918 3.6062 1.1204
O -3.9893 -2.0985 1.6140
O -2.0151 -0.7269 3.1211
O -0.0869 0.8269 0.9045
O -2.1883 2.1000 2.3538
O -2.4200 -0.5190 0.3206
O -0.2529 3.4741 3.9359
Ir -1.2648 0.6996 -0.6802
Ir -2.6685 3.5326 1.0764
Pd -3.8252 2.1158 -2.0572
Pd -0.1484 2.1386 2.4317



[14]
3
Lattice="4.3510 0.0000 0.0000 2.1755 3.7681 0.0000 2.1755 1.2560 3.5526" Properties=species:S:1:pos:R:3 comment="PBE ScFePt, optimized geometry" density_g_cm3=8.4 delta_e_f_ev_per_fu=-1.02 pbc="T T T"
Pt 2.1755 1.2560 0.8881
Fe 4.3510 2.5121 1.7763
Sc 0.0000 0.0000 0.0000



[15]
9
Lattice="-3.1531 -1.6925 0.7292 1.7944 -4.5201 -2.7323 0.9810 0.5274 5.4659" Properties=species:S:1:pos:R:3 comment="PBE SmHf2B6, optimized geometry" density_g_cm3=9.7 delta_e_f_ev_per_fu=-6.80 pbc="T T T"
B -0.3936 -3.8260 -1.4366
B -1.2422 -0.6665 2.2272
B -0.6308 -2.2068 1.2961
B 0.2531 -3.4783 2.1667
B -0.9651 -2.3866 -0.5665
B -0.9298 -0.4985 3.9679
Hf 1.5233 -2.8376 0.0004
Hf 1.2521 -1.1551 2.7332
Sm 0.0000 0.0000 0.0000



[16]
6
Lattice="-4.4721 3.9487 4.2947 -1.5565 6.9706 -1.7388 -6.7297 1.7851 -2.3580" Properties=species:S:1:pos:R:3 comment="PBE K4WCl, optimized geometry" density_g_cm3=2.2 pbc="T T T"
K -7.0196 6.7380 2.2190
K -5.5635 8.2472 -0.7941
K -4.7862 4.7660 0.0742
K -8.1471 5.6575 -1.1034
W -9.5687 9.5283 0.1484
Cl 0.0000 0.0000 0.0000



[17]
11
Lattice="-2.3061 -5.3782 -2.7176 5.2375 -3.2279 1.9437 -4.3233 -2.1927 8.0082" Properties=species:S:1:pos:R:3 comment="PBE KSn8Au2, optimized geometry" density_g_cm3=5.9 relative_energy_mev_per_atom=53.0 delta_e_f_ev_per_fu=0.01 pbc="T T T"
Sn -3.9595 -6.6294 4.9340
Sn -2.7892 -3.9001 6.3131
Sn -1.2607 -5.2606 -0.0652
Sn 2.5676 -4.1694 2.3003
Sn -0.0903 -2.5313 1.3139
Sn 1.3973 -6.8987 0.9212
Sn -1.3016 -8.2676 5.9204
Sn -0.1312 -5.5382 7.2995
K -0.6959 -5.3994 3.6172
Au -1.1531 -2.6891 -1.3588
Au 2.6188 -1.6139 0.9718



[18]
9
Lattice="-3.4616 -3.7977 3.7360 2.6332 -2.6691 5.1290 -2.1404 6.2114 4.3309" Properties=species:S:1:pos:R:3 comment="PBE CsZnCrCl6, optimized geometry" density_g_cm3=2.8 pbc="T T T"
Cl -0.3358 -1.1079 6.0894
Cl -3.1125 -2.7261 7.0381
Cl -2.6447 0.7585 7.2351
Cl -0.1579 0.1150 9.3868
Cl -0.3043 -3.0171 8.8432
Cl -3.1788 -1.2555 9.8594
Cr -1.6223 -1.2057 8.0752
Cs -5.6019 2.4137 8.0668
Zn -1.3463 0.9503 5.1205



[19]
7
Lattice="4.1825 0.0000 0.0000 0.0000 4.1825 0.0000 -2.0913 -2.0913 6.7411" Properties=species:S:1:pos:R:3 comment="PBE Sr2AgO2F2, optimized geometry" density_g_cm3=5.0 pbc="T T T"
O 0.0000 2.0913 0.0000
O 2.0913 0.0000 0.0000
Sr 2.0913 2.0913 1.6836
Sr 0.0000 0.0000 5.0575
F 2.0913 2.0913 4.0661
F 0.0000 0.0000 2.6750
Ag 0.0000 0.0000 0.0000



[20]
4
Lattice="-2.6289 -1.5376 -4.1475 1.9039 -2.2902 -0.3578 -2.8010 -3.2537 2.9817" Properties=species:S:1:pos:R:3 comment="PBE YHgW2, optimized geometry" density_g_cm3=13.6 delta_e_f_ev_per_fu=2.41 pbc="T T T"
Y -1.5387 -2.1548 -1.4178
W -0.2200 -2.9284 1.2251
W 1.6754 -2.1338 -0.2709
Hg -1.9873 -4.9267 -0.1058



[21]
8
Lattice="8.2269 0.0000 -0.1626 -0.7520 3.4357 -0.0019 -0.6452 1.6617 6.4583" Properties=species:S:1:pos:R:3 comment="PBE MnTeS2, optimized geometry" density_g_cm3=4.5 pbc="T T T"
Mn 1.7299 1.2121 3.6366
Mn -0.6616 2.4868 5.1599
Te 1.5899 2.9802 1.6247
Te 4.3456 1.7835 3.1802
S -0.5325 2.5141 0.4241
S 7.0323 4.1698 3.4392
S 1.5806 2.9799 5.1239
S 5.2834 1.9881 5.3551



[22]
4
Lattice="-0.2577 1.3098 3.3683 -1.0908 -2.1529 2.7024 9.6719 -3.0740 3.8840" Properties=species:S:1:pos:R:3 comment="PBE Nd2YRu, optimized geometry" density_g_cm3=6.6 relative_energy_mev_per_atom=429.5 delta_e_f_ev_per_fu=0.84 pbc="T T T"
Nd 1.8844 -1.7352 6.6650
Nd 6.4389 -2.1819 3.2897
Y 0.0000 0.0000 0.0000
Ru 4.1617 -1.9586 4.9773



[23]
16
Lattice="-1.4605 -7.9642 2.2291 4.8056 -2.6839 -6.4405 3.1665 5.4112 5.5876" Properties=species:S:1:pos:R:3 comment="PBE Na4DyPu3Se8, optimized geometry" density_g_cm3=6.3 pbc="T T T"
Pu 3.9861 1.3637 -0.4264
Pu 1.6726 -5.3240 -2.1057
Pu 3.2558 -2.6184 0.6881
Se 2.5551 0.0068 1.6984
Se 5.5511 -2.5560 2.4824
Se 0.2241 -6.6970 0.0179
Se 4.6906 -1.2686 -1.4593
Se 1.8211 -3.9683 2.8355
Se 6.2876 1.4601 1.3583
Se 3.9566 -5.2437 -0.3222
Se 0.9606 -2.6808 -1.1062
Na 1.5833 2.7056 2.7938
Na 0.8530 -1.2765 3.9084
Na 0.0000 0.0000 0.0000
Na -0.7302 -3.9821 1.1146
Dy 2.4028 -1.3419 -3.2202



Number 1: raw total energy -5.302 eV per atom, size of the total moment 2.82 μB/f.u.. Number 2: raw total energy -8.500 eV per atom, size of the total moment 0.00 μB/f.u.. Number 3: raw total energy -7.360 eV per atom, size of the total moment 0.00 μB/f.u.. Number 4: raw total energy -5.034 eV per atom, size of the total moment 0.00 μB/f.u.. Number 5: raw total energy -6.581 eV per atom, size of the total moment 0.00 μB/f.u.. Number 6: raw total energy -6.021 eV per atom, size of the total moment 1.56 μB/f.u.. Number 7: raw total energy -7.007 eV per atom, size of the total moment 2.56 μB/f.u.. Number 8: raw total energy -6.271 eV per atom, size of the total moment 0.00 μB/f.u.. Number 9: raw total energy -3.794 eV per atom, size of the total moment 0.00 μB/f.u.. Number 10: raw total energy -7.548 eV per atom, size of the total moment 1.76 μB/f.u.. Number 11: raw total energy -6.061 eV per atom, size of the total moment 0.00 μB/f.u.. Number 12: raw total energy -4.805 eV per atom, size of the total moment 0.00 μB/f.u.. Number 13: raw total energy -6.205 eV per atom, size of the total moment 0.00 μB/f.u.. Number 14: raw total energy -7.285 eV per atom, size of the total moment 2.90 μB/f.u.. Number 15: raw total energy -7.944 eV per atom, size of the total moment 0.00 μB/f.u.. Number 16: raw total energy -2.333 eV per atom, size of the total moment 5.01 μB/f.u.. Number 17: raw total energy -3.606 eV per atom, size of the total moment 0.00 μB/f.u.. Number 18: raw total energy -3.859 eV per atom, size of the total moment 3.00 μB/f.u.. Number 19: raw total energy -5.219 eV per atom, size of the total moment 0.00 μB/f.u.. Number 20: raw total energy -7.565 eV per atom, size of the total moment 0.00 μB/f.u.. Number 21: raw total energy -5.447 eV per atom, size of the total moment 0.28 μB/f.u.. Number 22: raw total energy -6.109 eV per atom, size of the total moment 0.00 μB/f.u.. Number 23: raw total energy -6.525 eV per atom, size of the total moment 15.00 μB/f.u..